Material: Li2Mn3WO8
Method: DFT, PBE with a Hubbard U
State: relaxed

M_tot   13.000 μB/f.u.
Symmetry   P2_12_12_1, No. 19
Calculated volume   662 Å³/cell
ΔE to the lowest computed polymorph   0.014 eV per atom
DFT total energy   -395.23 eV/cell

a b c (Å): 8.521 8.522 9.116
angles (deg): 90.00 90.00 90.00
Atoms (fractional coordinates):
Li  0.000  0.010  0.002
Li  0.000  0.510  0.498
Li  0.244  0.251  0.253
Li  0.256  0.749  0.753
Li  0.500  0.490  0.998
Li  0.500  0.990  0.502
Li  0.744  0.249  0.747
Li  0.756  0.751  0.247
Mn  0.119  0.370  0.878
Mn  0.129  0.863  0.375
Mn  0.130  0.604  0.134
Mn  0.370  0.396  0.634
Mn  0.371  0.137  0.875
Mn  0.381  0.630  0.378
Mn  0.619  0.130  0.122
Mn  0.629  0.637  0.625
Mn  0.630  0.896  0.866
Mn  0.870  0.104  0.366
Mn  0.871  0.363  0.125
Mn  0.881  0.870  0.622
W  0.129  0.124  0.617
W  0.371  0.876  0.117
W  0.629  0.376  0.383
W  0.871  0.624  0.883
O  0.094  0.362  0.115
O  0.105  0.602  0.878
O  0.114  0.891  0.630
O  0.118  0.346  0.615
O  0.128  0.103  0.404
O  0.134  0.138  0.845
O  0.148  0.880  0.130
O  0.153  0.636  0.367
O  0.347  0.364  0.867
O  0.352  0.120  0.630
O  0.366  0.862  0.345
O  0.372  0.897  0.904
O  0.382  0.654  0.115
O  0.386  0.109  0.130
O  0.395  0.398  0.378
O  0.406  0.638  0.615
O  0.594  0.138  0.885
O  0.605  0.898  0.122
O  0.614  0.609  0.370
O  0.618  0.154  0.385
O  0.628  0.397  0.596
O  0.634  0.362  0.155
O  0.648  0.620  0.870
O  0.653  0.864  0.633
O  0.847  0.136  0.133
O  0.852  0.380  0.370
O  0.866  0.638  0.655
O  0.872  0.603  0.096
O  0.882  0.846  0.885
O  0.886  0.391  0.870
O  0.895  0.102  0.622
O  0.906  0.862  0.385